# 1
The following is a PBE-GGA calculation of a relaxed LiMnIrRh2 crystal, from Alexandria.

Cell and atoms, written as POSCAR:
```
LiMnIrRh2
1.0
4.024 0.000 0.000
0.000 4.116 0.000
0.000 0.000 4.024
Ir Rh Mn Li
1 2 1 1
Direct
0.000 0.500 0.000 Ir
0.500 0.000 0.000 Rh
0.000 0.000 0.500 Rh
0.500 0.500 0.500 Mn
0.000 0.000 0.000 Li
```

Calculated values
Total moment = 0.076 Bohr magnetons per cell
Calculated volume = 66.6 Å³ per cell
Energy = -30.1 eV/cell

=====

# 2
The following is a PBE-GGA calculation of a relaxed NpCuGe2 crystal, from Alexandria.

Cell and atoms, written as POSCAR:
```
NpCuGe2
1.0
4.001 0.000 0.000
0.000 7.314 0.000
0.000 0.000 10.211
Ge Np Cu
8 4 4
Direct
0.250 0.720 0.931 Ge
0.750 0.347 0.699 Ge
0.250 0.153 0.199 Ge
0.250 0.220 0.569 Ge
0.750 0.847 0.801 Ge
0.750 0.780 0.431 Ge
0.250 0.653 0.301 Ge
0.750 0.280 0.069 Ge
0.250 0.136 0.875 Np
0.750 0.364 0.375 Np
0.750 0.864 0.125 Np
0.250 0.636 0.625 Np
0.250 0.983 0.402 Cu
0.750 0.517 0.902 Cu
0.250 0.483 0.098 Cu
0.750 0.017 0.598 Cu
```

Calculated values
Total moment = 16.524 Bohr magnetons per cell
Calculated volume = 298.8 Å³ per cell
Energy = -106.9 eV/cell

=====

# 3
The following is a PBE-GGA calculation of a relaxed CuTcB crystal, from Alexandria.

Cell and atoms, written as POSCAR:
```
CuTcB
1.0
-0.429 2.883 -4.151
-1.347 -2.143 -1.349
-8.003 2.933 3.331
B Cu Tc
4 4 4
Direct
0.232 0.000 0.882 B
0.739 0.500 0.623 B
0.232 0.500 0.382 B
0.739 0.000 0.123 B
0.660 0.500 0.293 Cu
0.933 0.500 0.979 Cu
0.933 0.000 0.479 Cu
0.660 0.000 0.793 Cu
0.143 0.500 0.712 Tc
0.143 0.000 0.212 Tc
0.433 0.000 0.524 Tc
0.433 0.500 0.024 Tc
```

Calculated values
Total moment = 0.000 Bohr magnetons per cell
Excess energy over the best structure of this formula in the dataset = 45 kJ/mol of formula units
Calculated volume = 133.0 Å³ per cell

=====

# 4
The following is a PBE-GGA calculation of a relaxed Rb3Mo5N12 crystal, from Alexandria.

Cell and atoms, written as POSCAR:
```
Rb3Mo5N12
1.0
11.794 0.000 0.000
-3.931 11.119 0.000
-3.931 -5.560 9.630
N Mo Rb
48 20 12
Direct
0.517 0.831 0.903 N
0.686 0.169 0.572 N
0.903 0.572 0.886 N
0.831 0.517 0.403 N
0.331 0.428 0.814 N
0.114 0.928 0.097 N
0.597 0.983 0.169 N
0.386 0.403 0.572 N
0.572 0.903 0.386 N
0.072 0.186 0.169 N
0.686 0.517 0.614 N
0.903 0.331 0.517 N
0.386 0.983 0.314 N
0.517 0.686 0.114 N
0.483 0.314 0.886 N
0.614 0.597 0.428 N
0.403 0.017 0.831 N
0.572 0.669 0.686 N
0.097 0.428 0.114 N
0.097 0.669 0.483 N
0.928 0.114 0.597 N
0.669 0.572 0.186 N
0.114 0.186 0.517 N
0.169 0.686 0.072 N
0.814 0.886 0.983 N
0.314 0.831 0.428 N
0.983 0.597 0.669 N
0.072 0.886 0.403 N
0.428 0.097 0.614 N
0.403 0.386 0.072 N
0.886 0.072 0.903 N
0.169 0.483 0.597 N
0.331 0.903 0.017 N
0.597 0.614 0.928 N
0.983 0.386 0.814 N
0.831 0.314 0.928 N
0.428 0.331 0.314 N
0.886 0.814 0.483 N
0.814 0.928 0.331 N
0.483 0.169 0.097 N
0.614 0.017 0.686 N
0.669 0.097 0.983 N
0.017 0.403 0.331 N
0.928 0.814 0.831 N
0.017 0.614 0.186 N
0.186 0.114 0.017 N
0.186 0.072 0.669 N
0.314 0.483 0.386 N
0.875 0.250 0.625 Mo
0.750 0.625 0.375 Mo
0.500 0.000 0.000 Mo
0.625 0.875 0.250 Mo
0.500 0.500 0.000 Mo
0.375 0.250 0.125 Mo
0.500 0.500 0.500 Mo
0.875 0.625 0.750 Mo
0.000 0.500 0.000 Mo
0.250 0.875 0.125 Mo
0.125 0.375 0.250 Mo
0.000 0.000 0.000 Mo
0.500 0.000 0.500 Mo
0.750 0.125 0.875 Mo
0.000 0.000 0.500 Mo
0.625 0.750 0.875 Mo
0.250 0.375 0.625 Mo
0.375 0.125 0.750 Mo
0.000 0.500 0.500 Mo
0.125 0.750 0.375 Mo
0.375 0.750 0.625 Rb
0.625 0.250 0.375 Rb
0.250 0.625 0.875 Rb
0.125 0.250 0.875 Rb
0.875 0.125 0.250 Rb
0.375 0.625 0.250 Rb
0.125 0.875 0.750 Rb
0.250 0.125 0.375 Rb
0.625 0.375 0.750 Rb
0.750 0.375 0.125 Rb
0.750 0.875 0.625 Rb
0.875 0.750 0.125 Rb
```

Calculated values
Formation energy (no corrections) = 0.14 eV per atom
Total moment = 12.476 Bohr magnetons per cell
Calculated volume = 1262.8 Å³ per cell

=====

# 5
The following is a PBE-GGA calculation of a relaxed RbSm2Sn3Te6 crystal, from Alexandria.

Cell and atoms, written as POSCAR:
```
RbSm2Sn3Te6
1.0
4.487 0.000 0.000
0.000 9.490 0.411
-2.244 -2.670 9.636
Sm Rb Te Sn
2 1 6 3
Direct
0.829 0.649 0.659 Sm
0.171 0.351 0.341 Sm
0.500 0.000 0.000 Rb
0.334 0.408 0.667 Te
0.683 0.113 0.367 Te
0.317 0.887 0.633 Te
0.012 0.280 0.024 Te
0.666 0.592 0.333 Te
0.988 0.720 0.976 Te
0.500 0.500 0.000 Sn
0.158 0.846 0.317 Sn
0.842 0.154 0.683 Sn
```

Calculated values
Formation energy (no corrections) = -0.74 eV per atom
Total moment = 0.000 Bohr magnetons per cell
Calculated volume = 415.3 Å³ per cell

=====

# 6
The following is a PBE-GGA calculation of a relaxed Al2Pt2Rh crystal, from Alexandria.

Cell and atoms, written as POSCAR:
```
Al2Pt2Rh
1.0
-0.389 -2.596 1.377
2.705 -0.815 -0.771
4.413 2.949 6.807
Rh Al Pt
1 2 2
Direct
0.000 0.000 0.000 Rh
0.500 0.591 0.818 Al
0.500 0.409 0.182 Al
0.000 0.179 0.642 Pt
0.000 0.821 0.358 Pt
```

Calculated values
Total moment = 0.000 Bohr magnetons per cell
Excess energy over the best structure of this formula in the dataset = 0 kJ/mol of formula units
Calculated volume = 73.9 Å³ per cell

=====

# 7
The following is a PBE-GGA calculation of a relaxed VP2I2 crystal, from Alexandria.

Cell and atoms, written as POSCAR:
```
VP2I2
1.0
-4.186 -2.672 -5.533
5.066 -5.290 -1.278
-2.329 -3.007 3.214
V I P
2 4 4
Direct
0.500 0.500 0.000 V
0.000 0.000 0.000 V
0.671 0.171 0.000 I
0.829 0.671 0.000 I
0.329 0.829 0.000 I
0.171 0.329 0.000 I
0.264 0.236 0.500 P
0.764 0.264 0.500 P
0.736 0.764 0.500 P
0.236 0.736 0.500 P
```

Calculated values
Formation energy (no corrections) = 0.99 eV per atom
Total moment = 4.779 Bohr magnetons per cell
Excess energy over the best structure of this formula in the dataset = 311 kJ/mol of formula units
Calculated volume = 275.3 Å³ per cell

=====

# 8
The following is a PBE-GGA calculation of a relaxed PmBOs crystal, from Alexandria.

Cell and atoms, written as POSCAR:
```
PmBOs
1.0
-0.120 -1.406 3.843
-4.074 -3.023 -1.233
1.329 -5.517 -1.919
B Pm Os
2 2 2
Direct
0.254 0.617 0.766 B
0.746 0.383 0.234 B
0.248 0.155 0.690 Pm
0.752 0.845 0.310 Pm
0.752 0.581 0.838 Os
0.248 0.419 0.162 Os
```

Calculated values
Total moment = 0.000 Bohr magnetons per cell
Excess energy over the best structure of this formula in the dataset = 16 kJ/mol of formula units
Calculated volume = 115.2 Å³ per cell